(1)
The following is a PBE-GGA calculation of a geometry-optimized CeHfAu2 structure, from Alexandria via LeMat-Bulk.

Summary:
Crystal system: cubic
Calculated formation energy (eV per atom): -0.4022
Spin magnetization (μB per cell): 4.2
V (Å³/cell): 357.4
E_tot (eV per atom): -6.013

```
CeHfAu2
1.0
7.0966 0.0000 0.0000
0.0000 7.0966 0.0000
0.0000 0.0000 7.0966
Ce Hf Au
4 4 8
Cartesian
0.0000 0.0000 0.0000 Ce
0.0000 3.5483 3.5483 Ce
3.5483 0.0000 3.5483 Ce
3.5483 3.5483 0.0000 Ce
0.0000 0.0000 3.5483 Hf
0.0000 3.5483 0.0000 Hf
3.5483 0.0000 0.0000 Hf
3.5483 3.5483 3.5483 Hf
1.7742 1.7742 1.7742 Au
1.7742 1.7742 5.3225 Au
1.7742 5.3225 1.7742 Au
1.7742 5.3225 5.3225 Au
5.3225 1.7742 1.7742 Au
5.3225 1.7742 5.3225 Au
5.3225 5.3225 1.7742 Au
5.3225 5.3225 5.3225 Au
```

(2)
The following is a PBE-GGA calculation of a geometry-optimized Li3In4Au4 structure, from Alexandria via LeMat-Bulk.

Summary:
Crystal system: triclinic
Calculated formation energy (eV per atom): -0.3002
Spin magnetization (μB per cell): 0.0
V (Å³/cell): 227.7
E_tot (eV per atom): -3.010

```
Li3In4Au4
1.0
3.4096 0.0000 0.0000
-0.0790 5.2748 0.0000
-1.6360 -1.4959 12.6614
Li In Au
3 4 4
Cartesian
0.0000 0.0000 0.0000 Li
-0.0093 1.7509 3.1118 Li
1.7039 2.0280 9.5497 Li
-0.0157 3.1819 7.0897 In
0.0478 -0.5816 10.5126 In
1.6467 4.3605 2.1488 In
1.7103 0.5970 5.5717 In
0.0088 0.5404 7.9766 Au
-0.0047 2.0677 11.6300 Au
1.6992 1.7112 1.0315 Au
1.6858 3.2384 4.6848 Au
```

(3)
The following is a PBE-GGA calculation of a geometry-optimized CaRuW2 structure, from Alexandria via LeMat-Bulk.

Summary:
Crystal system: tetragonal
Calculated formation energy (eV per atom): 0.8247
Spin magnetization (μB per cell): 0.0
V (Å³/cell): 70.6
E_tot (eV per atom): -8.471

```
CaRuW2
1.0
3.8322 0.0000 0.0000
0.0000 3.8322 0.0000
0.0000 0.0000 4.8073
Ca Ru W
1 1 2
Cartesian
0.0000 0.0000 0.0000 Ca
1.9161 1.9161 0.0000 Ru
0.0000 1.9161 2.4036 W
1.9161 0.0000 2.4036 W
```

(4)
The following is a PBE-GGA calculation of a geometry-optimized YVZn2Br structure, from Alexandria via LeMat-Bulk.

Summary:
Crystal system: tetragonal
Spin magnetization (μB per cell): 0.0
V (Å³/cell): 110.3
E_tot (eV per atom): -3.716
Energy relative to the elements, uncorrected (eV/atom): 0.24

```
YVZn2Br
1.0
4.8743 0.0000 0.0000
0.0000 4.8743 0.0000
0.0000 0.0000 4.6411
Y V Zn Br
1 1 2 1
Cartesian
0.0000 0.0000 0.0000 Y
2.4371 2.4371 2.3205 V
0.0000 2.4371 2.3205 Zn
2.4371 0.0000 2.3205 Zn
2.4371 2.4371 0.0000 Br
```

(5)
The following is a PBE-GGA calculation of a geometry-optimized Ca2Y2Pt structure, from Alexandria via LeMat-Bulk.

Summary:
Crystal system: tetragonal
Calculated formation energy (eV per atom): -0.2694
Spin magnetization (μB per cell): 0.0
V (Å³/cell): 323.5
E_tot (eV per atom): -4.864

```
Ca2Y2Pt
1.0
7.3618 0.0000 0.0000
0.0000 7.3618 0.0000
0.0000 0.0000 5.9683
Ca Y Pt
4 4 2
Cartesian
1.2534 2.4275 0.0000 Ca
2.4275 6.1084 0.0000 Ca
4.9342 1.2534 0.0000 Ca
6.1084 4.9342 0.0000 Ca
1.1966 4.8775 2.9842 Y
2.4842 1.1966 2.9842 Y
4.8775 6.1651 2.9842 Y
6.1651 2.4842 2.9842 Y
0.0000 0.0000 2.9842 Pt
3.6809 3.6809 2.9842 Pt
```

(6)
The following is a PBE-GGA calculation of a geometry-optimized BaSrMg2 structure, from Alexandria via LeMat-Bulk.

Summary:
Crystal system: tetragonal
Calculated formation energy (eV per atom): 0.0180
Spin magnetization (μB per cell): 0.0
V (Å³/cell): 285.7
E_tot (eV per atom): -1.680

```
BaSrMg2
1.0
5.8545 0.0000 0.0000
0.0000 5.8545 0.0000
0.0000 0.0000 8.3367
Ba Sr Mg
2 2 4
Cartesian
0.0000 0.0000 0.0000 Ba
2.9272 2.9272 4.1683 Ba
0.0000 2.9272 2.0842 Sr
2.9272 0.0000 6.2525 Sr
0.0000 0.0000 4.1683 Mg
0.0000 2.9272 6.2525 Mg
2.9272 0.0000 2.0842 Mg
2.9272 2.9272 0.0000 Mg
```

(7)
The following is a PBE-GGA calculation of a geometry-optimized ZrCr2Cl2 structure, from Alexandria via LeMat-Bulk.

Summary:
Crystal system: tetragonal
Spin magnetization (μB per cell): 0.0
V (Å³/cell): 191.1
E_tot (eV per atom): -6.107
Energy relative to the elements, uncorrected (eV/atom): 0.19

```
ZrCr2Cl2
1.0
6.7080 0.0000 0.0000
0.0000 6.7080 0.0000
0.0000 0.0000 4.2474
Zr Cr Cl
2 4 4
Cartesian
0.0000 0.0000 0.0000 Zr
3.3540 3.3540 0.0000 Zr
0.6610 2.6930 2.1237 Cr
2.6930 6.0470 2.1237 Cr
4.0150 0.6610 2.1237 Cr
6.0470 4.0150 2.1237 Cr
1.1102 2.2438 0.0000 Cl
2.2438 5.5978 0.0000 Cl
4.4642 1.1102 0.0000 Cl
5.5978 4.4642 0.0000 Cl
```

(8)
The following is a PBE-GGA calculation of a geometry-optimized Rb3Zr3TiTe8 structure, from Alexandria via LeMat-Bulk.

Summary:
Crystal system: trigonal
Spin magnetization (μB per cell): 1.5
V (Å³/cell): 521.5
E_tot (eV per atom): -5.031
Energy relative to the elements, uncorrected (eV/atom): -0.93

```
Rb3Zr3TiTe8
1.0
4.1068 2.3711 8.9264
-4.1068 2.3711 8.9264
0.0000 -4.7421 8.9264
Rb Zr Ti Te
3 3 1 8
Cartesian
-2.0534 -1.1855 8.9264 Rb
-2.0534 1.1855 17.8528 Rb
0.0000 2.3711 8.9264 Rb
-4.1068 0.0000 13.3896 Zr
-2.0534 1.1855 4.4632 Zr
2.0534 1.1855 4.4632 Zr
0.0000 0.0000 13.3896 Ti
0.0000 0.0000 6.2173 Te
-2.0179 -1.1651 15.0919 Te
0.0000 -2.3301 11.6874 Te
-2.0179 1.1651 11.6874 Te
2.0179 -1.1651 15.0919 Te
0.0000 2.3301 15.0919 Te
2.0179 1.1651 11.6873 Te
0.0000 0.0000 20.5619 Te
```

(9)
The following is a PBE-GGA calculation of a geometry-optimized Li2NdSc2Sn2 structure, from Alexandria via LeMat-Bulk.

Summary:
Crystal system: trigonal
Calculated formation energy (eV per atom): -0.4765
Spin magnetization (μB per cell): 0.6
V (Å³/cell): 164.5
E_tot (eV per atom): -4.657

```
Li2NdSc2Sn2
1.0
2.3604 1.3628 8.5207
-2.3604 1.3628 8.5207
0.0000 -2.7256 8.5207
Li Nd Sc Sn
2 1 2 2
Cartesian
0.0000 0.0000 1.8838 Li
0.0000 0.0000 23.6782 Li
0.0000 0.0000 12.7810 Nd
0.0000 0.0000 9.3614 Sc
0.0000 0.0000 16.2006 Sc
0.0000 0.0000 6.2430 Sn
0.0000 0.0000 19.3190 Sn
```

(10)
The following is a PBE-GGA calculation of a geometry-optimized Sr3CePr3Se8 structure, from Alexandria via LeMat-Bulk.

Summary:
Crystal system: trigonal
Spin magnetization (μB per cell): 1.1
V (Å³/cell): 462.2
E_tot (eV per atom): -5.463
Energy relative to the elements, uncorrected (eV/atom): -1.92

```
Sr3CePr3Se8
1.0
4.2976 2.4812 7.2241
-4.2976 2.4812 7.2241
0.0000 -4.9624 7.2241
Sr Ce Pr Se
3 1 3 8
Cartesian
-2.1488 -1.2406 7.2241 Sr
-2.1488 1.2406 14.4483 Sr
0.0000 2.4812 7.2241 Sr
0.0000 0.0000 10.8362 Ce
-4.2976 0.0000 10.8362 Pr
-2.1488 1.2406 3.6121 Pr
2.1488 1.2406 3.6121 Pr
0.0000 0.0000 5.3674 Se
-2.1298 -1.2297 12.5411 Se
0.0000 -2.4593 9.1313 Se
-2.1298 1.2297 9.1313 Se
2.1298 -1.2297 12.5411 Se
0.0000 2.4593 12.5411 Se
2.1298 1.2297 9.1313 Se
0.0000 0.0000 16.3050 Se
```

(11)
The following is a PBE-GGA calculation of a geometry-optimized La3Tl structure, from Alexandria via LeMat-Bulk.

Summary:
Crystal system: orthorhombic
Calculated formation energy (eV per atom): -0.1836
Spin magnetization (μB per cell): 0.0
V (Å³/cell): 131.2
E_tot (eV per atom): -4.471

```
La3Tl
1.0
3.7340 0.0000 0.0000
0.0000 5.7932 0.0000
0.0000 0.0000 6.0666
La Tl
3 1
Cartesian
0.0000 0.0000 0.0000 La
0.0000 2.8966 2.5233 La
1.8670 0.0000 3.3747 La
1.8670 2.8966 5.4758 Tl
```

(12)
The following is a PBE-GGA calculation of a geometry-optimized BaAlCd2 structure, from Alexandria via LeMat-Bulk.

Summary:
Crystal system: monoclinic
Calculated formation energy (eV per atom): -0.1649
Spin magnetization (μB per cell): 0.0
V (Å³/cell): 242.4
E_tot (eV per atom): -2.039

```
BaAlCd2
1.0
8.2863 0.0000 0.0000
0.0000 4.7953 0.0000
-2.7889 0.0000 6.1015
Ba Al Cd
2 2 4
Cartesian
0.0000 0.0000 0.0000 Ba
4.1431 2.3976 0.0000 Ba
-1.3944 2.3976 3.0508 Al
2.7487 0.0000 3.0508 Al
-0.0160 0.0000 3.8079 Cd
1.3703 2.3976 2.2936 Cd
4.1271 2.3976 3.8079 Cd
5.5134 0.0000 2.2936 Cd
```

- Which of these has the highest spin magnetization?
  CeHfAu2